Entry 1:
Below is a relaxed structure of Sb2PbBr, with properties calculated at the PBE-GGA level.

Final energy (Ha/atom): -0.1298

Cell: 6.390 4.271 4.926 Å, 83.20 90.00 90.00°
Atoms (fractional coordinates):
Pb  0.500  0.750  0.750
Sb  0.000  0.966  0.945
Sb  0.000  0.534  0.555
Br  0.500  0.250  0.250

Entry 2:
Below is a relaxed structure of SbPbSe2Br, with properties calculated at the PBE-GGA level.

Final energy (Ha/atom): -0.1378

Cell: 5.696 7.114 8.815 Å, 107.34 90.00 90.00°
Atoms (fractional coordinates):
Sb  0.250  0.326  0.572
Sb  0.750  0.674  0.428
Pb  0.250  0.282  0.064
Pb  0.750  0.718  0.936
Se  0.750  0.422  0.597
Se  0.250  0.578  0.403
Se  0.750  0.423  0.147
Se  0.250  0.577  0.853
Br  0.250  0.951  0.209
Br  0.750  0.049  0.791

Entry 3:
Below is a relaxed structure of SbPbSe2Br, with properties calculated at the PBE-GGA level.

Final energy (Ha/atom): -0.1233

Cell: 5.442 5.442 5.408 Å, 90.00 90.00 90.00°
Atoms (fractional coordinates):
Pb  0.500  0.500  0.500
Sb  0.000  0.000  0.000
Se  0.000  0.500  0.000
Se  0.500  0.000  0.000
Br  0.000  0.000  0.500

Entry 4:
Below is a relaxed structure of SbPb6Se3Br2, with properties calculated at the PBE-GGA level.

Final energy (Ha/atom): -0.1398

Cell: 7.688 7.688 8.073 Å, 99.31 99.31 120.79°
Atoms (fractional coordinates):
Sb  0.000  0.000  0.000
Pb  0.911  0.598  0.733
Pb  0.770  0.770  0.264
Pb  0.089  0.402  0.267
Pb  0.598  0.911  0.733
Pb  0.230  0.230  0.736
Pb  0.402  0.089  0.267
Se  0.160  0.840  0.500
Se  0.840  0.160  0.500
Se  0.500  0.500  0.500
Br  0.329  0.671  0.000
Br  0.671  0.329  0.000

Entry 5:
Below is a relaxed structure of SbPbSeBr2, with properties calculated at the PBE-GGA level.

Final energy (Ha/atom): -0.1111

Cell: 5.584 5.584 5.547 Å, 90.00 90.00 90.00°
Last column: magnetic moment on the atom in μB.
Atoms (fractional coordinates):
Pb  0.500  0.500  0.500  0.20
Sb  0.000  0.000  0.000  0.01
Se  0.000  0.000  0.500  -0.02
Br  0.000  0.500  0.000  0.00
Br  0.500  0.000  0.000  0.00

Entry 6:
Below is a relaxed structure of SnSbPbBr, with properties calculated at the PBE-GGA level.

Final energy (Ha/atom): -0.1303

Cell: 5.465 5.465 5.465 Å, 60.00 60.00 60.00°
Atoms (fractional coordinates):
Pb  0.500  0.500  0.500
Sb  0.250  0.250  0.250
Sn  0.000  0.000  0.000
Br  0.750  0.750  0.750

| no. | raw formation energy (eV per atom) |
| --- | --- |
| 1 | -0.127 |
| 2 | -0.456 |
| 3 | -0.060 |
| 4 | -0.457 |
| 5 | -0.090 |
| 6 | -0.168 |